MnBi2F, relaxed, DFT PBE with a Hubbard U; space group = Fm-3m (225); offset from the most stable computed form = 0.0 meV per atom
1.0
0.000 3.529 3.529
3.529 0.000 3.529
3.529 3.529 0.000
Bi F Mn
2 1 1
direct
0.750 0.750 0.750
0.250 0.250 0.250
0.000 0.000 0.000
0.500 0.500 0.500